CdCoPbF6 | GGA+U | optimized geometry

Output
N(E_F)	0.000	states/eV per cell
final energy	-4.562	eV per atom
calculated volume	16.24	A^3/atom

```
CdCoPbF6
1.0
5.7275 0.0000 0.0000
-2.8637 4.9601 0.0000
0.0000 0.0000 10.2908
Cd Co Pb F
2 2 2 12
Cartesian
0.0000 3.3068 2.5727
2.8637 1.6534 7.7181
0.0000 3.3068 7.7181
2.8637 1.6534 2.5727
0.0000 0.0000 0.0000
0.0000 0.0000 5.1454
-0.9054 1.8280 6.5869
-1.7334 3.2621 8.8493
0.9054 1.8280 8.8493
-0.8280 4.8303 6.5869
2.0358 0.1299 1.4415
1.1304 1.6981 3.7039
1.7334 3.2621 6.5869
0.8280 4.8303 8.8493
3.6917 0.1299 3.7039
1.9583 3.1322 1.4415
4.5971 1.6981 1.4415
3.7691 3.1322 3.7039
```